Record 1
Here is crystalline ReSb at its relaxed geometry from Alexandria. Energies are from PBE.

Structure (extended XYZ):
```
16
Lattice="8.349 0.000 0.000 0.000 5.512 0.000 0.000 0.000 7.460" Properties=species:S:1:pos:R:3 pbc="T T T"
Re 7.439 5.365 0.969
Re 3.264 2.904 6.492
Re 7.139 1.123 3.181
Sb 3.514 2.655 1.703
Sb 0.660 2.858 5.433
Re 5.085 0.147 4.699
Sb 1.244 5.315 2.948
Sb 4.835 5.411 2.027
Sb 5.418 2.954 4.512
Re 1.210 3.879 0.549
Re 5.385 4.389 6.911
Re 0.910 2.609 2.761
Sb 2.931 0.198 6.678
Sb 7.688 0.101 5.757
Re 2.964 1.633 4.279
Sb 7.105 2.558 0.782
```

Computed properties:
Its raw formation energy is 98 kJ/mol of formula units. Its total magnetization is 0.0 μB/cell. Its space group is No. 19. The density of states at the Fermi level comes out at 11.25 states/eV/cell. The value obtained for the energy above the most stable polymorph in this dataset is 287 meV per atom.

---

Record 2
Here is crystalline Re5Sb4 at its relaxed geometry from Alexandria. Energies are from PBE.

Structure (extended XYZ):
```
9
Lattice="-1.210 -5.756 4.738 -1.872 5.986 -4.208 0.221 -4.568 -6.011" Properties=species:S:1:pos:R:3 pbc="T T T"
Re -1.643 1.912 -1.104
Re -1.946 -1.248 -1.494
Sb -1.148 0.986 -7.103
Re -1.440 -1.682 1.635
Sb -0.302 -3.148 -0.388
Re 0.000 0.000 0.000
Re -0.916 -3.089 -3.987
Sb -0.504 0.433 -3.116
Sb -0.688 -7.175 -0.885
```

Computed properties:
Its raw formation energy is 556 kJ/mol of formula units. Its total magnetization is 0.0 μB/cell. Its space group is No. 139. The density of states at the Fermi level comes out at 9.07 states/eV/cell. The value obtained for the energy above the most stable polymorph in this dataset is 0 meV per atom.

---

Look up the raw formation energy of the second one. 556 kJ/mol of formula units